This record from Alexandria via LeMat-Bulk describes a geometry-optimized HgAsPd3Pb structure. The functional is GGA-PBE.

DFT total energy ... -50.36 eV for the cell shown
V ... 19.91 Å³/atom
Crystal system ... monoclinic
Formation energy ... -0.16 eV/atom
Mass density ... 11.15 g/cm3
Total magnetization ... 0.0 μB/f.u.

Unit cell a=7.7834 b=7.7834 c=5.7192 alpha=101.45 beta=101.45 gamma=128.99
Last column: nearest neighbours and their distance in Å.
Sites, in units of the cell vectors:
Hg (0.2407, 0.7593, 0.7500)  6 Pd 2.82-2.89
Hg (0.7593, 0.2407, 0.2500)  6 Pd 2.82-2.89
As (0.0338, 0.9662, 0.2500)  5 Pd 2.50-2.54
As (0.9662, 0.0338, 0.7500)  5 Pd 2.50-2.54
Pd (0.1712, 0.3472, 0.5643)  2 As 2.51-2.54
Pd (0.2117, 0.7883, 0.2500)  1 As 2.50, 1 Pb 2.78
Pd (0.3472, 0.1712, 0.0643)  2 As 2.51-2.54
Pd (0.6528, 0.8288, 0.9357)  2 As 2.51-2.54
Pd (0.7883, 0.2117, 0.7500)  1 As 2.50, 1 Pb 2.78
Pd (0.8288, 0.6528, 0.4357)  2 As 2.51-2.54
Pb (0.4095, 0.5905, 0.2500)  5 Pd 2.78-2.92
Pb (0.5905, 0.4095, 0.7500)  5 Pd 2.78-2.92

This record from Alexandria via LeMat-Bulk describes a geometry-optimized KCSF2 structure. The functional is GGA-PBE.

DFT total energy ... -20.36 eV for the cell shown
V ... 15.25 Å³/atom
Crystal system ... tetragonal
Mass density ... 2.64 g/cm3
Total magnetization ... 0.0 μB/f.u.
Formation energy from raw total energies ... -0.434 eV/atom

Unit cell a=4.6885 b=4.6885 c=3.4686 alpha=90.00 beta=90.00 gamma=90.00
Last column: nearest neighbours and their distance in Å.
Sites, in units of the cell vectors:
K (0.0000, 0.0000, 0.0000)  8 F 2.92
C (0.5000, 0.5000, 0.5000)  2 S 1.73
S (0.5000, 0.5000, 0.0000)  2 C 1.73
F (0.0000, 0.5000, 0.5000)  2 C 2.34
F (0.5000, 0.0000, 0.5000)  2 C 2.34

This record from Alexandria via LeMat-Bulk describes a geometry-optimized CsKRb2O structure. The functional is GGA-PBE.

DFT total energy ... -10.54 eV for the cell shown
V ... 46.94 Å³/atom
ΔE to the lowest computed polymorph ... 157 meV per atom
Crystal system ... tetragonal
Mass density ... 2.54 g/cm3
Total magnetization ... 0.0 μB/f.u.
Formation energy from raw total energies ... -0.339 eV/atom

Unit cell a=6.2465 b=6.2465 c=6.0155 alpha=90.00 beta=90.00 gamma=90.00
Last column: nearest neighbours and their distance in Å.
Sites, in units of the cell vectors:
Cs (0.0000, 0.0000, 0.0000)  8 Rb 4.34, 4 K 4.42
K (0.5000, 0.5000, 0.0000)  2 O 3.01
Rb (0.0000, 0.5000, 0.5000)  2 O 3.12
Rb (0.5000, 0.0000, 0.5000)  2 O 3.12
O (0.5000, 0.5000, 0.5000)  2 K 3.01, 4 Rb 3.12

This record from Alexandria via LeMat-Bulk describes a geometry-optimized Tl3Sn2Hg structure. The functional is GGA-PBE.

DFT total energy ... -15.26 eV for the cell shown
V ... 29.53 Å³/atom
ΔE to the lowest computed polymorph ... 0 meV per atom
Crystal system ... tetragonal
Formation energy ... 0.02 eV/atom
Mass density ... 9.85 g/cm3
Total magnetization ... 0.0 μB/f.u.

Unit cell a=3.4752 b=3.4752 c=14.6697 alpha=90.00 beta=90.00 gamma=90.00
Last column: nearest neighbours and their distance in Å.
Sites, in units of the cell vectors:
Tl (0.0000, 0.0000, 0.0000)  8 Sn 3.43, 4 Tl 3.48
Tl (0.0000, 0.0000, 0.3260)  4 Sn 3.43, 4 Tl 3.48, 4 Hg 3.54
Tl (0.0000, 0.0000, 0.6740)  4 Sn 3.43, 4 Tl 3.48, 4 Hg 3.54
Sn (0.5000, 0.5000, 0.1634)  8 Tl 3.43, 4 Sn 3.48
Sn (0.5000, 0.5000, 0.8366)  8 Tl 3.43, 4 Sn 3.48
Hg (0.5000, 0.5000, 0.5000)  4 Hg 3.48, 8 Tl 3.54

This record from Alexandria via LeMat-Bulk describes a geometry-optimized BiCl4 structure. The functional is GGA-PBE.

DFT total energy ... -30.00 eV for the cell shown
V ... 41.15 Å³/atom
ΔE to the lowest computed polymorph ... 0 meV per atom
Crystal system ... monoclinic
Mass density ... 2.83 g/cm3
Total magnetization ... 0.1 μB/f.u.
Formation energy from raw total energies ... -0.746 eV/atom

Unit cell a=7.4254 b=7.4254 c=8.6361 alpha=93.41 beta=93.41 gamma=60.03
Last column: nearest neighbours and their distance in Å.
Sites, in units of the cell vectors:
Bi (0.1661, 0.1661, 0.4962)  6 Cl 2.72-2.79
Bi (0.8339, 0.8339, 0.5038)  6 Cl 2.72-2.79
Cl (0.0049, 0.5105, 0.7013)  2 Bi 2.73-2.79
Cl (0.0082, 0.0082, 0.7013)  2 Bi 2.72-2.78
Cl (0.4382, 0.4382, 0.0639)  1 Cl 2.00
Cl (0.4895, 0.9951, 0.2987)  2 Bi 2.73-2.79
Cl (0.5105, 0.0049, 0.7013)  2 Bi 2.73-2.79
Cl (0.5618, 0.5618, 0.9361)  1 Cl 2.00
Cl (0.9918, 0.9918, 0.2987)  2 Bi 2.72-2.78
Cl (0.9951, 0.4895, 0.2987)  2 Bi 2.73-2.79

This record from Alexandria via LeMat-Bulk describes a geometry-optimized TlHgF3 structure. The functional is GGA-PBE.

DFT total energy ... -30.27 eV for the cell shown
V ... 19.77 Å³/atom
Crystal system ... tetragonal
Mass density ... 7.76 g/cm3
Total magnetization ... 0.0 μB/f.u.
Formation energy from raw total energies ... -1.371 eV/atom

Unit cell a=8.5800 b=8.5800 c=8.5800 alpha=145.89 beta=145.89 gamma=49.01
Last column: nearest neighbours and their distance in Å.
Sites, in units of the cell vectors:
Tl (0.1067, 0.1067, 0.0000)  6 F 2.76-2.86
Tl (0.8933, 0.8933, 0.0000)  6 F 2.76-2.86
Hg (0.5000, 0.5000, 0.0000)  8 F 2.44-2.57
Hg (0.7500, 0.2500, 0.5000)  4 F 2.21
F (0.0338, 0.5338, 0.5000)  2 Hg 2.57, 2 Tl 2.76
F (0.1204, 0.3647, 0.7557)  2 Hg 2.21-2.44, 1 F 2.46
F (0.4662, 0.9662, 0.5000)  2 Hg 2.57, 2 Tl 2.76
F (0.6090, 0.3647, 0.2443)  2 Hg 2.21-2.44, 1 F 2.46
F (0.6353, 0.3910, 0.7557)  2 Hg 2.21-2.44, 1 F 2.46
F (0.6353, 0.8796, 0.2443)  2 Hg 2.21-2.44, 1 F 2.46